VASP calculation (PBE) on crystalline AsCS2 at its relaxed geometry.

Cell lengths 4.350, 4.350, 4.350 Å; angles 60.00, 60.00, 60.00 degrees
Element x y z (fractional)
As1 0.500 0.500 0.500
S1 0.250 0.250 0.250
S2 0.750 0.750 0.750
C1 0.000 0.000 0.000

Results
Space-group type: Fm-3m (225)
ΔE_f (raw) in eV per atom: 1.739
Energy in eV/atom: -3.79

VASP calculation (PBE) on crystalline Ba2BrOF at its relaxed geometry.

Cell lengths 4.463, 4.463, 7.984 Å; angles 90.00, 90.00, 120.00 degrees
Element x y z (fractional)
F1 0.333 0.667 0.640
Br1 0.000 0.000 0.982
Ba1 0.667 0.333 0.697
Ba2 0.333 0.667 0.294
O1 0.667 0.333 0.386

Results
Space-group type: P3m1 (156)
ΔE_f (raw) in eV per atom: -2.865
Energy in eV/atom: -5.34

VASP calculation (PBE) on crystalline InCo2Sn at its relaxed geometry.

Cell lengths 3.132, 3.132, 6.282 Å; angles 90.00, 90.00, 90.00 degrees
Element x y z (fractional)
Co1 0.000 0.000 0.237
Co2 0.000 0.000 0.763
In1 0.500 0.500 0.500
Sn1 0.500 0.500 0.000

Results
Space-group type: P4/mmm (123)
Energy in eV/atom: -5.13
ΔH_f (0 K) in eV/atom: 0.11

VASP calculation (PBE) on crystalline DyTmSiSe at its relaxed geometry.

Cell lengths 4.075, 4.075, 7.147 Å; angles 73.44, 73.44, 60.00 degrees
Element x y z (fractional)
Dy1 0.689 0.689 0.933
Si1 0.943 0.943 0.171
Se1 0.445 0.445 0.664
Tm1 0.199 0.199 0.403

Results
Space-group type: R3m (160)
ΔE_f (raw) in eV per atom: -1.281
Energy in eV/atom: -5.78